1.
Entry from Alexandria: an optimized crystal structure of Pu2USe2N2 (GGA-PBE).

theoretical density = 10.74 g/cm³
formation energy from raw total energies = -1.34 eV/atom
E_tot = -10.426 eV/atom
symmetry = I4/mmm

a = 8.2119 Å, b = 8.2119 Å, c = 8.2119 Å
α = 149.65°, β = 149.65°, γ = 43.45°
Last column: nearest neighbours and their distance in Å.
Sites, in units of the cell vectors:
Pu 0.1176 0.1176 0.0000  4 N 2.80, 1 Se 3.04
Pu 0.8824 0.8824 0.0000  4 N 2.80, 1 Se 3.04
U 0.5000 0.5000 0.0000  4 N 2.15
Se 0.3165 0.3165 0.0000  1 U 2.80, 1 Pu 3.04
Se 0.6835 0.6835 0.0000  1 U 2.80, 1 Pu 3.04
N 0.0000 0.5000 0.5000  2 U 2.15
N 0.5000 0.0000 0.5000  2 U 2.15

2.
Entry from Alexandria: an optimized crystal structure of PuUSe2N (GGA-PBE).

theoretical density = 9.66 g/cm³
formation energy from raw total energies = -1.43 eV/atom
E_tot = -9.612 eV/atom
symmetry = P4/nmm

a = 3.9560 Å, b = 3.9560 Å, c = 14.3631 Å
α = 90.00°, β = 90.00°, γ = 90.00°
Last column: nearest neighbours and their distance in Å.
Sites, in units of the cell vectors:
Pu 0.2500 0.2500 0.1153  6 Se 2.81-3.00
Pu 0.7500 0.7500 0.8847  6 Se 2.81-3.00
U 0.2500 0.2500 0.5787  4 N 2.28
U 0.7500 0.7500 0.4213  4 N 2.28
Se 0.2500 0.2500 0.3162  1 Pu 2.89, 4 U 3.18
Se 0.2500 0.2500 0.9067  5 Pu 2.81-3.00
Se 0.7500 0.7500 0.0933  5 Pu 2.81-3.00
Se 0.7500 0.7500 0.6838  1 Pu 2.89, 4 U 3.18
N 0.2500 0.7500 0.5000  4 U 2.28
N 0.7500 0.2500 0.5000  4 U 2.28

3.
Entry from Alexandria: an optimized crystal structure of YPuSe2N (GGA-PBE).

theoretical density = 7.48 g/cm³
formation energy from raw total energies = -1.56 eV/atom
E_tot = -8.783 eV/atom
symmetry = P4/nmm

a = 3.9321 Å, b = 3.9321 Å, c = 14.4894 Å
α = 90.00°, β = 90.00°, γ = 90.00°
Last column: nearest neighbours and their distance in Å.
Sites, in units of the cell vectors:
Y 0.2500 0.2500 0.1272  5 Se 2.69-2.84
Y 0.7500 0.7500 0.8728  5 Se 2.69-2.84
Pu 0.2500 0.2500 0.5767  4 N 2.26
Pu 0.7500 0.7500 0.4233  4 N 2.26
Se 0.2500 0.2500 0.3131  1 Y 2.69
Se 0.2500 0.2500 0.9113  5 Y 2.84-3.13
Se 0.7500 0.7500 0.0887  5 Y 2.84-3.13
Se 0.7500 0.7500 0.6869  1 Y 2.69
N 0.2500 0.7500 0.5000  4 Pu 2.26
N 0.7500 0.2500 0.5000  4 Pu 2.26

4.
Entry from Alexandria: an optimized crystal structure of PuZrSeN2 (GGA-PBE).

theoretical density = 8.21 g/cm³
formation energy from raw total energies = -1.40 eV/atom
E_tot = -10.007 eV/atom
symmetry = P2_1/m

a = 6.3887 Å, b = 3.9602 Å, c = 7.4560 Å
α = 90.00°, β = 108.54°, γ = 90.00°
Last column: nearest neighbours and their distance in Å.
Sites, in units of the cell vectors:
Pu 0.1852 0.2500 0.4280  4 N 2.20-2.24
Pu 0.8148 0.7500 0.5720  4 N 2.20-2.24
Zr 0.1586 0.2500 0.9167  4 N 2.12-2.18
Zr 0.8414 0.7500 0.0833  4 N 2.12-2.18
Se 0.4580 0.7500 0.7615  1 Zr 2.83, 1 Pu 3.04
Se 0.5420 0.2500 0.2385  1 Zr 2.83, 1 Pu 3.04
N 0.0103 0.7500 0.8801  3 Zr 2.12-2.17, 1 Pu 2.24
N 0.0273 0.7500 0.3844  1 Zr 2.18, 3 Pu 2.20-2.24
N 0.9727 0.2500 0.6156  1 Zr 2.18, 3 Pu 2.20-2.24
N 0.9897 0.2500 0.1199  3 Zr 2.12-2.17, 1 Pu 2.24

5.
Entry from Alexandria: an optimized crystal structure of PuSiN3 (GGA-PBE).

theoretical density = 7.95 g/cm³
formation energy from raw total energies = -0.78 eV/atom
E_tot = -9.727 eV/atom
symmetry = P2_1/m

a = 5.1719 Å, b = 3.4689 Å, c = 7.6951 Å
α = 90.00°, β = 108.04°, γ = 90.00°
Last column: nearest neighbours and their distance in Å.
Sites, in units of the cell vectors:
Pu 0.0638 0.2500 0.3173  6 N 2.18-2.35
Pu 0.9362 0.7500 0.6827  6 N 2.18-2.35
Si 0.4659 0.2500 0.8493  5 N 1.76-1.91
Si 0.5341 0.7500 0.1507  5 N 1.76-1.91
N 0.1671 0.2500 0.6277  1 Si 1.91
N 0.2655 0.7500 0.2460  1 Si 1.76
N 0.3735 0.7500 0.8982  3 Si 1.86-1.87
N 0.6265 0.2500 0.1018  3 Si 1.86-1.87
N 0.7345 0.2500 0.7540  1 Si 1.76
N 0.8329 0.7500 0.3723  1 Si 1.91

6.
Entry from Alexandria: an optimized crystal structure of PuSiN2 (GGA-PBE).

theoretical density = 7.81 g/cm³
formation energy from raw total energies = -0.54 eV/atom
E_tot = -9.640 eV/atom
symmetry = R-3m

a = 5.9508 Å, b = 5.9508 Å, c = 5.9508 Å
α = 35.60°, β = 35.60°, γ = 35.60°
Last column: nearest neighbours and their distance in Å.
Sites, in units of the cell vectors:
Pu 0.0000 0.0000 0.0000  6 N 2.37
Si 0.5000 0.5000 0.5000  2 N 1.69
N 0.3988 0.3988 0.3988  1 Si 1.69
N 0.6012 0.6012 0.6012  1 Si 1.69

7.
Entry from Alexandria: an optimized crystal structure of Y2PuSiN5 (GGA-PBE).

theoretical density = 7.35 g/cm³
formation energy from raw total energies = -1.17 eV/atom
E_tot = -9.423 eV/atom
symmetry = Cmc2_1

a = 7.1378 Å, b = 7.1378 Å, c = 10.2453 Å
α = 90.00°, β = 90.00°, γ = 153.23°
Last column: nearest neighbours and their distance in Å.
Sites, in units of the cell vectors:
Y 0.1018 0.8982 0.5000  6 N 2.44-2.59
Y 0.1304 0.8696 0.1554  6 N 2.42-2.57
Y 0.8696 0.1304 0.6554  6 N 2.42-2.57
Y 0.8982 0.1018 0.0000  6 N 2.44-2.59
Pu 0.2018 0.7982 0.8571  5 N 2.11-2.25
Pu 0.7982 0.2018 0.3571  5 N 2.11-2.25
Si 0.4548 0.5452 0.2523  4 N 1.71-1.85
Si 0.5452 0.4548 0.7523  4 N 1.71-1.85
N 0.0321 0.9679 0.8314  2 Si 1.85
N 0.2879 0.7121 0.4985  2 Pu 2.20
N 0.3273 0.6727 0.2132  1 Si 1.82
N 0.3528 0.6472 0.8361  1 Pu 2.11
N 0.4905 0.5095 0.6030  1 Si 1.71
N 0.5095 0.4905 0.1030  1 Si 1.71
N 0.6472 0.3528 0.3361  1 Pu 2.11
N 0.6727 0.3273 0.7132  1 Si 1.82
N 0.7121 0.2879 0.9985  2 Pu 2.20
N 0.9679 0.0321 0.3314  2 Si 1.85

8.
Entry from Alexandria: an optimized crystal structure of PuZn2SiN4 (GGA-PBE).

theoretical density = 7.80 g/cm³
formation energy from raw total energies = -0.57 eV/atom
E_tot = -7.523 eV/atom
symmetry = Fmm2

a = 5.3073 Å, b = 5.1871 Å, c = 5.0366 Å
α = 62.53°, β = 60.13°, γ = 57.35°
Last column: nearest neighbours and their distance in Å.
Sites, in units of the cell vectors:
Pu 0.0000 0.0000 0.0000  4 N 2.20-2.39
Zn 0.2207 0.2207 0.2793  4 N 2.03-2.11
Zn 0.7207 0.7207 0.7793  4 N 2.03-2.11
Si 0.4549 0.4549 0.5451  4 N 1.76
N 0.1185 0.5416 0.8815  1 Si 1.76
N 0.3628 0.7793 0.2207  1 Si 1.76
N 0.5416 0.1185 0.4584  1 Si 1.76
N 0.7793 0.3628 0.6372  1 Si 1.76

> Which value of E_tot does entry 5 give?

-9.727 eV/atom